{
  "formula": "Zr3PaRh6",
  "functional": "PBE",
  "state": "relaxed",
  "lattice_angstrom": [[8.531, 0.000, 0.000], [0.000, 4.324, 0.000], [-1.221, 0.000, 9.588]],
  "species": ["Zr", "Zr", "Zr", "Zr", "Zr", "Zr", "Pa", "Pa", "Rh", "Rh", "Rh", "Rh", "Rh", "Rh", "Rh", "Rh", "Rh", "Rh", "Rh", "Rh"],
  "frac_coords": [[0.057, 0.250, 0.396], [0.152, 0.750, 0.178], [0.258, 0.250, 0.954], [0.742, 0.750, 0.046], [0.848, 0.250, 0.822], [0.943, 0.750, 0.604], [0.443, 0.250, 0.634], [0.557, 0.750, 0.366], [0.036, 0.750, 0.897], [0.121, 0.250, 0.679], [0.261, 0.750, 0.482], [0.334, 0.250, 0.268], [0.342, 0.750, 0.784], [0.437, 0.750, 0.088], [0.563, 0.250, 0.912], [0.658, 0.250, 0.216], [0.666, 0.750, 0.732], [0.739, 0.250, 0.518], [0.879, 0.750, 0.321], [0.964, 0.250, 0.103]],
  "mass_density_g_cm3": 10.5,
  "e_tot_ev_per_cell": -174.30,
  "space_group": "P2_1/m, No. 11",
  "delta_e_f_ev_per_fu": -7.9
}

***

{
  "formula": "GeBiN2O",
  "functional": "PBE",
  "state": "relaxed",
  "lattice_angstrom": [[4.313, 0.000, 0.000], [0.000, 4.313, 0.000], [0.000, 0.000, 4.246]],
  "species": ["Ge", "Bi", "N", "N", "O"],
  "frac_coords": [[0.000, 0.000, 0.000], [0.500, 0.500, 0.500], [0.000, 0.500, 0.500], [0.500, 0.000, 0.500], [0.500, 0.500, 0.000]],
  "mass_density_g_cm3": 6.8,
  "e_tot_ev_per_cell": -24.27,
  "space_group": "P4/mmm, No. 123",
  "formation_energy_uncorrected_ev_per_atom": 1.168
}

***

{
  "formula": "Tb3SmO6",
  "functional": "PBE",
  "state": "relaxed",
  "lattice_angstrom": [[4.880, 2.817, 3.844], [-4.880, 2.817, 3.844], [0.000, -5.635, 3.844]],
  "species": ["Tb", "Tb", "Tb", "Tb", "Tb", "Tb", "Sm", "Sm", "O", "O", "O", "O", "O", "O", "O", "O", "O", "O", "O", "O"],
  "frac_coords": [[0.054, 0.751, 0.562], [0.249, 0.438, 0.946], [0.438, 0.946, 0.249], [0.562, 0.054, 0.751], [0.751, 0.562, 0.054], [0.946, 0.249, 0.438], [0.000, 0.000, 0.000], [0.500, 0.500, 0.500], [0.026, 0.678, 0.895], [0.105, 0.974, 0.322], [0.181, 0.428, 0.599], [0.322, 0.105, 0.974], [0.401, 0.819, 0.572], [0.428, 0.599, 0.181], [0.572, 0.401, 0.819], [0.599, 0.181, 0.428], [0.678, 0.895, 0.026], [0.819, 0.572, 0.401], [0.895, 0.026, 0.678], [0.974, 0.322, 0.105]],
  "mass_density_g_cm3": 7.6,
  "e_tot_ev_per_cell": -166.51,
  "space_group": "R-3, No. 148",
  "formation_energy_uncorrected_ev_per_atom": -3.490
}

***

{
  "formula": "CdNiPb2",
  "functional": "PBE",
  "state": "relaxed",
  "lattice_angstrom": [[-1.613, 2.262, 6.704], [1.613, -2.262, 6.704], [1.613, 2.262, -6.704]],
  "species": ["Cd", "Ni", "Pb", "Pb"],
  "frac_coords": [[0.000, 0.000, 0.000], [0.500, 0.500, 0.000], [0.329, 0.829, 0.500], [0.671, 0.171, 0.500]],
  "mass_density_g_cm3": 9.9,
  "e_tot_ev_per_cell": -13.68,
  "space_group": "Immm, No. 71",
  "delta_e_f_ev_per_fu": 0.4,
  "relative_energy_mev_per_atom": 0.0
}

***

{
  "formula": "La5SmTl2",
  "functional": "PBE",
  "state": "relaxed",
  "lattice_angstrom": [[5.685, 0.000, 0.000], [-2.842, 4.923, 0.000], [0.000, 0.000, 20.611]],
  "species": ["La", "La", "La", "La", "La", "La", "La", "La", "La", "La", "Sm", "Sm", "Tl", "Tl", "Tl", "Tl"],
  "frac_coords": [[0.000, 0.000, 0.160], [0.000, 0.000, 0.340], [0.000, 0.000, 0.660], [0.000, 0.000, 0.840], [0.333, 0.667, 0.064], [0.333, 0.667, 0.250], [0.333, 0.667, 0.436], [0.667, 0.333, 0.564], [0.667, 0.333, 0.750], [0.667, 0.333, 0.936], [0.333, 0.667, 0.750], [0.667, 0.333, 0.250], [0.333, 0.667, 0.595], [0.333, 0.667, 0.905], [0.667, 0.333, 0.095], [0.667, 0.333, 0.405]],
  "mass_density_g_cm3": 7.2,
  "e_tot_ev_per_cell": -69.89,
  "space_group": "P6_3/mmc, No. 194",
  "delta_e_f_ev_per_fu": -0.9
}

***

{
  "formula": "ZrCuCl6",
  "functional": "PBE",
  "state": "relaxed",
  "lattice_angstrom": [[5.710, 0.000, 0.000], [-0.375, 6.653, 0.000], [-2.767, -3.113, 6.118]],
  "species": ["Zr", "Cu", "Cl", "Cl", "Cl", "Cl", "Cl", "Cl"],
  "frac_coords": [[0.000, 0.000, 0.000], [0.500, 0.500, 0.000], [0.156, 0.643, 0.856], [0.208, 0.159, 0.819], [0.377, 0.181, 0.345], [0.623, 0.819, 0.655], [0.792, 0.841, 0.181], [0.844, 0.357, 0.144]],
  "mass_density_g_cm3": 2.6,
  "e_tot_ev_per_cell": -33.44,
  "space_group": "P-1, No. 2",
  "formation_energy_uncorrected_ev_per_atom": -1.215
}

***

{
  "formula": "K2CrRu",
  "functional": "PBE",
  "state": "relaxed",
  "lattice_angstrom": [[3.977, -1.617, 0.000], [3.977, 1.617, 0.000], [-0.750, 0.000, 9.965]],
  "species": ["K", "K", "Cr", "Ru"],
  "frac_coords": [[0.000, 0.000, 0.000], [0.207, 0.207, 0.571], [0.750, 0.750, 0.260], [0.463, 0.463, 0.315]],
  "mass_density_g_cm3": 3.0,
  "e_tot_ev_per_cell": -18.10,
  "space_group": "Cm, No. 8",
  "delta_e_f_ev_per_fu": 3.0,
  "relative_energy_mev_per_atom": 62.9
}

***

{
  "formula": "Sc4Sn",
  "functional": "PBE",
  "state": "relaxed",
  "lattice_angstrom": [[-4.305, 4.305, 3.662], [4.305, -4.305, 3.662], [4.305, 4.305, -3.662]],
  "species": ["Sc", "Sc", "Sc", "Sc", "Sc", "Sc", "Sc", "Sc", "Sn", "Sn"],
  "frac_coords": [[0.226, 0.295, 0.569], [0.226, 0.657, 0.931], [0.295, 0.226, 0.069], [0.343, 0.774, 0.569], [0.657, 0.226, 0.431], [0.705, 0.774, 0.931], [0.774, 0.343, 0.069], [0.774, 0.705, 0.431], [0.125, 0.875, 0.250], [0.875, 0.125, 0.750]],
  "mass_density_g_cm3": 3.7,
  "e_tot_ev_per_cell": -59.24,
  "space_group": "I4_1/amd, No. 141",
  "delta_e_f_ev_per_fu": -0.3,
  "relative_energy_mev_per_atom": 214.3
}